No. 1
Material: ZnCl6F2
Method: DFT, PBE
State: relaxed

```
ZnCl6F2
1.0
2.9828 0.0000 0.0000
-0.1073 8.6359 0.0000
-1.4564 -3.1411 8.5571
Zn Cl F
1 6 2
Direct
0.0000 0.0000 0.0000
0.1131 0.3115 0.2055
0.2434 0.2532 0.4740
0.3386 0.1921 0.6705
0.6614 0.8079 0.3295
0.7566 0.7468 0.5260
0.8869 0.6885 0.7945
0.4463 0.0627 0.8851
0.5537 0.9373 0.1149
```

Properties
space group	P-1, No. 2
formation energy (no corrections)	-0.5829	eV per atom

***

No. 2
Material: ZnCl2F
Method: DFT, PBE
State: relaxed

```
ZnCl2F
1.0
-3.1746 3.1746 4.6438
3.1746 -3.1746 4.6438
3.1746 3.1746 -4.6438
Zn Cl F
2 4 2
Direct
0.0000 0.0000 0.0000
0.7500 0.2500 0.5000
0.0632 0.6250 0.9382
0.3750 0.3132 0.4382
0.6868 0.1250 0.0618
0.8750 0.9368 0.5618
0.2500 0.7500 0.5000
0.5000 0.5000 0.0000
```

Properties
distance to the lowest polymorph of the same formula	13	meV/atom
space group	I-42d, No. 122
formation energy (no corrections)	-0.6648	eV per atom

***

No. 3
Material: ZrCl2F4
Method: DFT, PBE
State: relaxed

```
ZrCl2F4
1.0
3.6268 0.0000 0.0000
0.0008 3.6293 0.0000
0.6163 0.4346 10.4453
Zr Cl F
1 2 4
Direct
0.0000 0.0000 0.0000
0.4468 0.4253 0.4127
0.5532 0.5747 0.5873
0.0175 0.5131 0.8876
0.4814 0.9879 0.1124
0.5186 0.0121 0.8876
0.9825 0.4869 0.1124
```

Properties
space group	P-1, No. 2
formation energy (no corrections)	-2.5005	eV per atom

***

No. 4
Material: Zr2Cl3F5
Method: DFT, PBE
State: relaxed

```
Zr2Cl3F5
1.0
-3.5324 5.8440 4.0647
3.5324 -5.8440 4.0647
3.5324 5.8440 -4.0647
Zr Cl F
4 6 10
Direct
0.2040 0.0193 0.2233
0.2960 0.5193 0.8153
0.7040 0.4807 0.1847
0.7960 0.9807 0.7767
0.1062 0.3200 0.4262
0.2500 0.2500 0.0000
0.3938 0.8200 0.2139
0.6062 0.1800 0.7861
0.7500 0.7500 0.0000
0.8938 0.6800 0.5738
0.0059 0.2500 0.7559
0.1614 0.7314 0.8927
0.2500 0.7500 0.5000
0.3386 0.2314 0.5700
0.4941 0.2500 0.2441
0.5059 0.7500 0.7559
0.6614 0.7686 0.4300
0.7500 0.2500 0.5000
0.8386 0.2686 0.1073
0.9941 0.7500 0.2441
```

Properties
space group	Ibam, No. 72
formation energy (no corrections)	-2.4619	eV per atom

***

No. 5
Material: FeCl
Method: DFT, PBE
State: relaxed

```
FeCl
1.0
3.2656 0.0000 0.0000
0.0000 3.2656 0.0000
0.0000 0.0000 7.0283
Fe Cl
2 2
Direct
0.2500 0.2500 0.0681
0.7500 0.7500 0.9319
0.2500 0.2500 0.7329
0.7500 0.7500 0.2671
```

Properties
space group	P4/nmm, No. 129
formation energy (no corrections)	-0.1383	eV per atom

***

No. 6
Material: FeCl2
Method: DFT, PBE
State: relaxed

```
FeCl2
1.0
1.7567 1.0142 6.4985
-1.7567 1.0142 6.4985
0.0000 -2.0284 6.4985
Fe Cl
1 2
Direct
0.0000 0.0000 0.0000
0.2612 0.2612 0.2612
0.7388 0.7388 0.7388
```

Properties
space group	R-3m, No. 166
formation energy (no corrections)	-0.7123	eV per atom

***

No. 7
Material: FeCl2
Method: DFT, PBE
State: relaxed

```
FeCl2
1.0
-3.0539 3.0539 2.9499
3.0539 -3.0539 2.9499
3.0539 3.0539 -2.9499
Fe Cl
2 4
Direct
0.2500 0.2500 0.0000
0.7500 0.7500 0.0000
0.1832 0.6832 0.8663
0.3168 0.1832 0.5000
0.6832 0.8168 0.5000
0.8168 0.3168 0.1337
```

Properties
space group	I4/mcm, No. 140
formation energy (no corrections)	-0.2627	eV per atom

***

No. 8
Material: Fe3Cl
Method: DFT, PBE
State: relaxed

```
Fe3Cl
1.0
4.1999 -1.4466 0.0000
4.1999 1.4466 0.0000
-0.6915 0.0000 4.5151
Fe Cl
3 1
Direct
0.0000 0.0000 0.0000
0.2583 0.2583 0.7763
0.7417 0.7417 0.2237
0.5000 0.5000 0.5000
```

Properties
distance to the lowest polymorph of the same formula	324	meV/atom
space group	C2/m, No. 12
formation energy (no corrections)	0.4765	eV per atom

***

No. 9
Material: Fe3Cl
Method: DFT, PBE
State: relaxed

```
Fe3Cl
1.0
-1.7231 1.7231 11.6806
1.7231 -1.7231 11.6806
1.7231 1.7231 -11.6806
Fe Cl
6 2
Direct
0.0000 0.5000 0.5000
0.1769 0.1769 0.0000
0.2500 0.7500 0.5000
0.5000 0.0000 0.5000
0.7500 0.2500 0.5000
0.8231 0.8231 0.0000
0.4228 0.4228 0.0000
0.5772 0.5772 0.0000
```

Properties
distance to the lowest polymorph of the same formula	369	meV/atom
space group	I4/mmm, No. 139
formation energy (no corrections)	0.5221	eV per atom

***

No. 10
Material: FeCl
Method: DFT, PBE
State: relaxed

```
FeCl
1.0
8.1346 -1.5883 0.0000
8.1346 1.5883 0.0000
-2.1156 0.0000 5.6651
Fe Cl
3 3
Direct
0.0000 0.0000 0.0000
0.5036 0.5036 0.3221
0.8759 0.8759 0.1284
0.1175 0.1175 0.3689
0.2659 0.2659 0.0002
0.4714 0.4714 0.6884
```

Properties
space group	Cm, No. 8
formation energy (no corrections)	-0.2456	eV per atom

***

No. 11
Material: Fe2Cl
Method: DFT, PBE
State: relaxed

```
Fe2Cl
1.0
1.5324 -11.0601 0.0000
1.5324 11.0601 0.0000
0.0000 0.0000 3.5051
Fe Cl
4 2
Direct
0.0253 0.9747 0.7500
0.3993 0.6007 0.2500
0.6007 0.3993 0.7500
0.9747 0.0253 0.2500
0.3328 0.6672 0.7500
0.6672 0.3328 0.2500
```

Properties
distance to the lowest polymorph of the same formula	429	meV/atom
space group	Cmcm, No. 63
formation energy (no corrections)	0.3846	eV per atom

***

No. 12
Material: FeCl
Method: DFT, PBE
State: relaxed

```
FeCl
1.0
3.1525 0.0000 0.0000
0.0000 12.2004 0.0000
0.0000 0.0000 6.1780
Fe Cl
6 6
Direct
0.2500 0.0620 0.0863
0.2500 0.4380 0.0863
0.2500 0.7500 0.3857
0.7500 0.2500 0.6143
0.7500 0.5620 0.9137
0.7500 0.9380 0.9137
0.2500 0.2500 0.8977
0.2500 0.6080 0.6302
0.2500 0.8920 0.6302
0.7500 0.1080 0.3698
0.7500 0.3920 0.3698
0.7500 0.7500 0.1023
```

Properties
space group	Pmmn, No. 59
formation energy (no corrections)	-0.0357	eV per atom

***

No. 13
Material: FeCl2
Method: DFT, PBE
State: relaxed

```
FeCl2
1.0
-2.9068 5.4737 2.8626
2.9068 -5.4737 2.8626
2.9068 5.4737 -2.8626
Fe Cl
2 4
Direct
0.2500 0.2500 0.0000
0.7500 0.7500 0.0000
0.1157 0.2179 0.3336
0.3843 0.7179 0.1023
0.6157 0.2821 0.8977
0.8843 0.7821 0.6664
```

Properties
space group	Ibam, No. 72
formation energy (no corrections)	-0.7482	eV per atom

***

No. 14
Material: Fe2Cl
Method: DFT, PBE
State: relaxed

```
Fe2Cl
1.0
4.2853 0.0000 0.0000
-2.1427 3.7112 0.0000
0.0000 0.0000 2.8076
Fe Cl
2 1
Direct
0.3333 0.6667 0.0000
0.6667 0.3333 0.0000
0.0000 0.0000 0.5000
```

Properties
distance to the lowest polymorph of the same formula	862	meV/atom
space group	P6/mmm, No. 191
formation energy (no corrections)	0.8176	eV per atom

***

No. 15
Material: Fe2Cl
Method: DFT, PBE
State: relaxed

```
Fe2Cl
1.0
0.0000 2.7945 2.7945
2.7945 0.0000 2.7945
2.7945 2.7945 0.0000
Fe Cl
2 1
Direct
0.2500 0.2500 0.2500
0.7500 0.7500 0.7500
0.0000 0.0000 0.0000
```

Properties
distance to the lowest polymorph of the same formula	940	meV/atom
space group	Fm-3m, No. 225
formation energy (no corrections)	0.8958	eV per atom

***

No. 16
Material: Fe2Cl
Method: DFT, PBE
State: relaxed

```
Fe2Cl
1.0
7.1158 0.0000 0.0000
-3.5579 6.1625 0.0000
0.0000 0.0000 2.8223
Fe Cl
6 3
Direct
0.0000 0.3502 0.0000
0.0000 0.6786 0.5000
0.3214 0.3214 0.5000
0.3502 0.0000 0.0000
0.6498 0.6498 0.0000
0.6786 0.0000 0.5000
0.0000 0.0000 0.5000
0.3333 0.6667 0.0000
0.6667 0.3333 0.0000
```

Properties
distance to the lowest polymorph of the same formula	595	meV/atom
space group	P-62m, No. 189
formation energy (no corrections)	0.5507	eV per atom

***

No. 17
Material: FeCl
Method: DFT, PBE
State: relaxed

```
FeCl
1.0
3.1994 0.0000 0.0000
-1.5997 2.7708 0.0000
0.0000 0.0000 8.6106
Fe Cl
2 2
Direct
0.3333 0.6667 0.1050
0.6667 0.3333 0.8950
0.3333 0.6667 0.7157
0.6667 0.3333 0.2843
```

Properties
space group	P-3m1, No. 164
formation energy (no corrections)	-0.2486	eV per atom

***

No. 18
Material: Fe2Cl
Method: DFT, PBE
State: relaxed

```
Fe2Cl
1.0
5.5759 0.0000 0.0000
0.0000 5.5759 0.0000
0.0000 0.0000 5.5759
Fe Cl
8 4
Direct
0.1318 0.1318 0.1318
0.1318 0.3682 0.6318
0.3682 0.6318 0.1318
0.3682 0.8682 0.6318
0.6318 0.1318 0.3682
0.6318 0.3682 0.8682
0.8682 0.6318 0.3682
0.8682 0.8682 0.8682
0.0000 0.0000 0.5000
0.0000 0.5000 0.0000
0.5000 0.0000 0.0000
0.5000 0.5000 0.5000
```

Properties
distance to the lowest polymorph of the same formula	796	meV/atom
space group	Pa-3, No. 205
formation energy (no corrections)	0.7512	eV per atom

***

No. 19
Material: FeCl5
Method: DFT, PBE
State: relaxed

```
FeCl5
1.0
2.9159 0.0000 0.0000
0.0000 2.9159 0.0000
0.0000 0.0000 18.2076
Fe Cl
1 5
Direct
0.0000 0.0000 0.0000
0.0000 0.0000 0.2774
0.0000 0.0000 0.7226
0.5000 0.5000 0.0838
0.5000 0.5000 0.5000
0.5000 0.5000 0.9162
```

Properties
distance to the lowest polymorph of the same formula	535	meV/atom
space group	P4/mmm, No. 123
formation energy (no corrections)	0.1397	eV per atom

***

No. 20
Material: FeCl2
Method: DFT, PBE
State: relaxed

```
FeCl2
1.0
6.6914 0.0000 0.0000
-3.3457 5.7949 0.0000
0.0000 0.0000 12.1694
Fe Cl
4 8
Direct
0.3333 0.6667 0.1557
0.3333 0.6667 0.3443
0.6667 0.3333 0.6557
0.6667 0.3333 0.8443
0.0000 0.0000 0.0000
0.0000 0.0000 0.5000
0.1627 0.3254 0.2500
0.1627 0.8373 0.2500
0.3254 0.1627 0.7500
0.6746 0.8373 0.2500
0.8373 0.1627 0.7500
0.8373 0.6746 0.7500
```

Properties
space group	P6_3/mmc, No. 194
formation energy (no corrections)	-0.0390	eV per atom